[1]
A geometry-optimized TlZnMo2 structure. Source: Alexandria, functional PBE.

```
TlZnMo2
1.0
4.837 -1.662 0.000
4.837 1.662 0.000
-1.362 0.000 4.297
Tl Zn Mo
1 1 2
Direct
0.000 0.000 0.000 Tl
0.500 0.500 0.500 Zn
0.246 0.246 0.724 Mo
0.754 0.754 0.276 Mo
```

Properties
- energy relative to the elements (eV/atom) = 0.493
- SG = No. 12
- size of the total moment (μB per formula unit) = 0.00

[2]
A geometry-optimized Ce8SiP3Br4 structure. Source: Alexandria, functional PBE.

```
Ce8SiP3Br4
1.0
4.157 2.400 7.007
-4.157 2.400 7.007
0.000 -4.800 7.007
Ce Si P Br
8 1 3 4
Direct
0.235 0.742 0.742 Ce
0.239 0.239 0.239 Ce
0.258 0.258 0.765 Ce
0.258 0.765 0.258 Ce
0.742 0.235 0.742 Ce
0.742 0.742 0.235 Ce
0.761 0.761 0.761 Ce
0.765 0.258 0.258 Ce
0.500 0.500 0.500 Si
0.000 0.000 0.500 P
0.000 0.500 0.000 P
0.500 0.000 0.000 P
0.000 0.000 0.000 Br
0.000 0.500 0.500 Br
0.500 0.000 0.500 Br
0.500 0.500 0.000 Br
```

Properties
- raw formation energy (eV/atom) = -1.30
- SG = No. 166
- size of the total moment (μB per formula unit) = 6.51

[3]
A geometry-optimized NaDyI structure. Source: Alexandria, functional PBE.

```
NaDyI
1.0
3.383 -1.952 0.000
3.383 1.952 0.000
-2.287 0.000 15.233
Na Dy I
2 2 2
Direct
0.197 0.197 0.095 Na
0.803 0.803 0.905 Na
0.303 0.303 0.411 Dy
0.697 0.697 0.589 Dy
0.415 0.415 0.740 I
0.585 0.585 0.260 I
```

Properties
- raw formation energy (eV/atom) = -0.59
- SG = No. 12
- size of the total moment (μB per formula unit) = 0.11

[4]
A geometry-optimized Dy2Sc3Sn2 structure. Source: Alexandria, functional PBE.

```
Dy2Sc3Sn2
1.0
5.771 -2.144 0.000
5.771 2.144 0.000
-2.972 0.000 7.548
Dy Sc Sn
2 3 2
Direct
0.134 0.134 0.287 Dy
0.866 0.866 0.713 Dy
0.380 0.380 0.060 Sc
0.500 0.500 0.500 Sc
0.620 0.620 0.940 Sc
0.164 0.164 0.710 Sn
0.836 0.836 0.290 Sn
```

Properties
- energy relative to the elements (eV/atom) = -0.466
- SG = No. 12
- size of the total moment (μB per formula unit) = 0.00

[5]
A geometry-optimized MgAgPt2 structure. Source: Alexandria, functional PBE.

```
MgAgPt2
1.0
1.436 0.829 9.103
-1.436 0.829 9.103
0.000 -1.658 9.103
Mg Ag Pt
1 1 2
Direct
0.000 0.000 0.000 Mg
0.500 0.500 0.500 Ag
0.255 0.255 0.255 Pt
0.745 0.745 0.745 Pt
```

Properties
- energy relative to the elements (eV/atom) = -0.383
- SG = No. 166
- size of the total moment (μB per formula unit) = 0.00

[6]
A geometry-optimized Sm4SbTePb2 structure. Source: Alexandria, functional PBE.

```
Sm4SbTePb2
1.0
7.648 0.000 0.000
0.000 4.413 0.000
-2.555 0.000 7.610
Sm Sb Te Pb
4 1 1 2
Direct
0.245 0.000 0.244 Sm
0.247 0.500 0.752 Sm
0.753 0.500 0.248 Sm
0.755 0.000 0.756 Sm
0.000 0.500 0.000 Sb
0.500 0.000 0.000 Te
0.000 0.000 0.500 Pb
0.500 0.500 0.500 Pb
```

Properties
- raw formation energy (eV/atom) = -0.90
- SG = No. 10
- size of the total moment (μB per formula unit) = 0.00

[7]
A geometry-optimized Hf2Pt5Rh structure. Source: Alexandria, functional PBE.

```
Hf2Pt5Rh
1.0
5.690 0.000 0.000
0.000 11.390 0.000
0.000 0.000 3.991
Hf Pt Rh
4 10 2
Direct
0.242 0.122 0.000 Hf
0.258 0.622 0.000 Hf
0.742 0.378 0.000 Hf
0.758 0.878 0.000 Hf
0.000 0.500 0.500 Pt
0.005 0.750 0.500 Pt
0.248 0.375 0.000 Pt
0.252 0.875 0.000 Pt
0.495 0.250 0.500 Pt
0.500 0.000 0.500 Pt
0.505 0.750 0.500 Pt
0.748 0.125 0.000 Pt
0.752 0.625 0.000 Pt
0.995 0.250 0.500 Pt
0.000 0.000 0.500 Rh
0.500 0.500 0.500 Rh
```

Properties
- energy relative to the elements (eV/atom) = -1.090
- SG = No. 55
- size of the total moment (μB per formula unit) = 0.00

[8]
A geometry-optimized TbPr5Bi4 structure. Source: Alexandria, functional PBE.

```
TbPr5Bi4
1.0
9.817 -2.260 0.000
9.817 2.260 0.000
-2.372 0.000 8.517
Tb Pr Bi
1 5 4
Direct
0.000 0.000 0.000 Tb
0.000 0.000 0.500 Pr
0.323 0.323 0.649 Pr
0.336 0.336 0.178 Pr
0.664 0.664 0.822 Pr
0.677 0.677 0.351 Pr
0.167 0.167 0.085 Bi
0.493 0.493 0.750 Bi
0.507 0.507 0.250 Bi
0.833 0.833 0.915 Bi
```

Properties
- energy relative to the elements (eV/atom) = -0.571
- SG = No. 12
- size of the total moment (μB per formula unit) = 0.00

[9]
A geometry-optimized HgPdI2 structure. Source: Alexandria, functional PBE.

```
HgPdI2
1.0
2.022 1.167 10.676
-2.022 1.167 10.676
0.000 -2.334 10.676
Hg Pd I
1 1 2
Direct
0.000 0.000 0.000 Hg
0.500 0.500 0.500 Pd
0.117 0.117 0.117 I
0.883 0.883 0.883 I
```

Properties
- raw formation energy (eV/atom) = -0.02
- SG = No. 166
- size of the total moment (μB per formula unit) = 1.01

[10]
A geometry-optimized AcNd2Pd structure. Source: Alexandria, functional PBE.

```
AcNd2Pd
1.0
1.937 1.118 11.099
-1.937 1.118 11.099
0.000 -2.237 11.099
Ac Nd Pd
1 2 1
Direct
0.000 0.000 0.000 Ac
0.111 0.111 0.111 Nd
0.889 0.889 0.889 Nd
0.500 0.500 0.500 Pd
```

Properties
- energy relative to the elements (eV/atom) = -0.113
- SG = No. 166
- size of the total moment (μB per formula unit) = 0.00

[11]
A geometry-optimized TlSnS4 structure. Source: Alexandria, functional PBE.

```
TlSnS4
1.0
3.684 -7.064 0.000
3.684 7.064 0.000
-0.952 0.000 6.534
Tl Sn S
2 2 8
Direct
0.120 0.880 0.750 Tl
0.880 0.120 0.250 Tl
0.458 0.542 0.250 Sn
0.542 0.458 0.750 Sn
0.179 0.630 0.345 S
0.226 0.333 0.925 S
0.333 0.226 0.425 S
0.370 0.821 0.155 S
0.630 0.179 0.845 S
0.667 0.774 0.575 S
0.774 0.667 0.075 S
0.821 0.370 0.655 S
```

Properties
- raw formation energy (eV/atom) = -0.09
- SG = No. 15
- size of the total moment (μB per formula unit) = 0.99

[12]
A geometry-optimized LuAlGe2 structure. Source: Alexandria, functional PBE.

```
LuAlGe2
1.0
2.200 1.270 4.735
-2.200 1.270 4.735
0.000 -2.540 4.735
Lu Al Ge
1 1 2
Direct
0.000 0.000 0.000 Lu
0.500 0.500 0.500 Al
0.225 0.225 0.225 Ge
0.775 0.775 0.775 Ge
```

Properties
- energy relative to the elements (eV/atom) = -0.257
- SG = No. 166
- size of the total moment (μB per formula unit) = 0.00